A:
Sb2WICl: relaxed, PBE-GGA.

Symmetry   No. 123

Cell lengths 5.2445, 5.2445, 5.4706 Å; angles 90.00, 90.00, 90.00 degrees
Element x y z (fractional)
Sb (0.5000, 0.0000, 0.0000)
Sb (0.0000, 0.5000, 0.0000)
Cl (0.5000, 0.5000, 0.5000)
I (0.0000, 0.0000, 0.5000)
W (0.0000, 0.0000, 0.0000)


B:
Sb2WICl: relaxed, PBE-GGA.

Symmetry   No. 123

Cell lengths 5.3209, 5.3209, 5.2992 Å; angles 90.00, 90.00, 90.00 degrees
Each line ends with the local moment (μB).
Element x y z (fractional)
Sb (0.5000, 0.0000, 0.0000)  -0.21
Sb (0.0000, 0.5000, 0.0000)  -0.21
Cl (0.0000, 0.0000, 0.0000)  -0.01
W (0.5000, 0.5000, 0.5000)  2.94
I (0.0000, 0.0000, 0.5000)  -0.03


Compare the structures above. Which one is the least stable? B is.